## i
Material: HfTaSi2
Method: DFT, GGA-PBE
State: relaxed

The structure in POSCAR format:
```
HfTaSi2
1.0
6.426 0.000 0.000
0.000 6.426 0.000
0.000 0.000 6.426
Hf Ta Si
4 4 8
direct
0.000 0.000 0.000
0.000 0.500 0.500
0.500 0.000 0.500
0.500 0.500 0.000
0.000 0.000 0.500
0.000 0.500 0.000
0.500 0.000 0.000
0.500 0.500 0.500
0.250 0.250 0.250
0.250 0.250 0.750
0.250 0.750 0.250
0.250 0.750 0.750
0.750 0.250 0.250
0.750 0.250 0.750
0.750 0.750 0.250
0.750 0.750 0.750
```

Properties
- DOS at the Fermi energy: 2.8 states/eV/f.u.
- Volume: 265 Å³ per cell
- Symmetry: Fm-3m
- Theoretical density: 10.40 Mg/m³

## ii
Material: HfTaSi2
Method: DFT, GGA-PBE
State: relaxed

The structure in POSCAR format:
```
HfTaSi2
1.0
7.038 0.000 0.000
0.000 7.038 0.000
0.000 0.000 5.757
Hf Ta Si
4 4 8
direct
0.000 0.000 0.000
0.000 0.500 0.250
0.500 0.000 0.750
0.500 0.500 0.500
0.000 0.000 0.500
0.000 0.500 0.750
0.500 0.000 0.250
0.500 0.500 0.000
0.240 0.250 0.625
0.250 0.740 0.875
0.250 0.760 0.375
0.260 0.250 0.125
0.740 0.750 0.125
0.750 0.240 0.375
0.750 0.260 0.875
0.760 0.750 0.625
```

Properties
- DOS at the Fermi energy: 2.4 states/eV/f.u.
- Volume: 285 Å³ per cell
- Symmetry: I-42d
- Theoretical density: 9.68 Mg/m³

Least stable: ii

## i
Material: Hf2Si2Tc
Method: DFT, GGA-PBE
State: relaxed

The structure in POSCAR format:
```
Hf2Si2Tc
1.0
6.507 0.000 0.000
0.000 6.507 0.000
0.000 0.000 3.892
Hf Si Tc
4 4 2
direct
0.173 0.327 0.000
0.327 0.827 0.000
0.673 0.173 0.000
0.827 0.673 0.000
0.131 0.631 0.500
0.369 0.131 0.500
0.631 0.869 0.500
0.869 0.369 0.500
0.000 0.000 0.500
0.500 0.500 0.500
```

Properties
- DOS at the Fermi energy: 15.9 states/eV/f.u.
- Volume: 165 Å³ per cell
- Symmetry: P4/mbm
- Theoretical density: 10.30 Mg/m³

## ii
Material: Hf2Si2Tc
Method: DFT, GGA-PBE
State: relaxed

The structure in POSCAR format:
```
Hf2Si2Tc
1.0
3.948 0.000 0.000
0.000 5.227 0.000
0.000 0.000 8.075
Hf Si Tc
4 4 2
direct
0.000 0.000 0.207
0.000 0.000 0.793
0.500 0.500 0.293
0.500 0.500 0.707
0.000 0.273 0.500
0.000 0.727 0.500
0.500 0.227 0.000
0.500 0.773 0.000
0.000 0.500 0.000
0.500 0.000 0.500
```

Properties
- DOS at the Fermi energy: 2.4 states/eV/f.u.
- Volume: 167 Å³ per cell
- Symmetry: Immm
- Theoretical density: 10.19 Mg/m³

Least stable: ii

## i
Material: HfSiTc3
Method: DFT, GGA-PBE
State: relaxed

The structure in POSCAR format:
```
HfSiTc3
1.0
4.425 0.000 0.000
0.000 4.425 0.000
0.000 0.000 4.425
Hf Si Tc
1 1 3
direct
0.000 0.000 0.000
0.500 0.500 0.500
0.000 0.500 0.500
0.500 0.000 0.500
0.500 0.500 0.000
```

Properties
- DOS at the Fermi energy: 6.1 states/eV/f.u.
- Volume: 87 Å³ per cell
- Symmetry: Pm-3m
- Theoretical density: 9.59 Mg/m³

## ii
Material: HfSiTc3
Method: DFT, GGA-PBE
State: relaxed

The structure in POSCAR format:
```
HfSiTc3
1.0
4.744 0.000 0.000
0.000 4.744 0.000
0.000 0.000 4.744
Hf Si Tc
1 1 3
direct
0.000 0.000 0.000
0.500 0.500 0.500
0.000 0.000 0.500
0.000 0.500 0.000
0.500 0.000 0.000
```

Properties
- DOS at the Fermi energy: 4.0 states/eV/f.u.
- Volume: 107 Å³ per cell
- Symmetry: Pm-3m
- Theoretical density: 7.78 Mg/m³

Least stable: ii

## i
Material: HfSi2Tc
Method: DFT, GGA-PBE
State: relaxed

The structure in POSCAR format:
```
HfSi2Tc
1.0
3.846 0.000 0.000
0.000 3.846 0.000
0.000 0.000 18.317
Hf Si Tc
4 8 4
direct
0.000 0.000 0.000
0.000 0.500 0.250
0.500 0.000 0.750
0.500 0.500 0.500
0.214 0.250 0.625
0.250 0.714 0.875
0.250 0.786 0.375
0.286 0.250 0.125
0.714 0.750 0.125
0.750 0.214 0.375
0.750 0.286 0.875
0.786 0.750 0.625
0.000 0.000 0.500
0.000 0.500 0.750
0.500 0.000 0.250
0.500 0.500 0.000
```

Properties
- DOS at the Fermi energy: 2.7 states/eV/f.u.
- Volume: 271 Å³ per cell
- Symmetry: I-42d
- Theoretical density: 8.15 Mg/m³

## ii
Material: HfSi2Tc
Method: DFT, GGA-PBE
State: relaxed

The structure in POSCAR format:
```
HfSi2Tc
1.0
4.085 0.000 0.000
-2.043 3.538 0.000
0.000 0.000 13.154
Hf Si Tc
3 6 3
direct
0.000 0.000 0.000
0.333 0.667 0.667
0.667 0.333 0.333
0.000 0.000 0.220
0.000 0.000 0.780
0.333 0.667 0.447
0.333 0.667 0.887
0.667 0.333 0.113
0.667 0.333 0.553
0.000 0.000 0.500
0.333 0.667 0.167
0.667 0.333 0.833
```

Properties
- DOS at the Fermi energy: 2.4 states/eV/f.u.
- Volume: 190 Å³ per cell
- Symmetry: R-3m
- Theoretical density: 8.72 Mg/m³

Least stable: i

## i
Material: HfSi2Tc2
Method: DFT, GGA-PBE
State: relaxed

The structure in POSCAR format:
```
HfSi2Tc2
1.0
7.036 0.000 0.000
0.000 7.036 0.000
0.000 0.000 3.016
Hf Si Tc
2 4 4
direct
0.000 0.000 0.000
0.500 0.500 0.000
0.135 0.365 0.000
0.365 0.865 0.000
0.635 0.135 0.000
0.865 0.635 0.000
0.155 0.655 0.500
0.345 0.155 0.500
0.655 0.845 0.500
0.845 0.345 0.500
```

Properties
- DOS at the Fermi energy: 4.0 states/eV/f.u.
- Volume: 149 Å³ per cell
- Symmetry: P4/mbm
- Theoretical density: 9.58 Mg/m³

## ii
Material: HfSi2Tc2
Method: DFT, GGA-PBE
State: relaxed

The structure in POSCAR format:
```
HfSi2Tc2
1.0
4.211 0.000 0.000
0.000 4.211 0.000
0.000 0.000 9.383
Hf Si Tc
2 4 4
direct
0.000 0.000 0.000
0.500 0.500 0.500
0.000 0.500 0.250
0.000 0.500 0.750
0.500 0.000 0.250
0.500 0.000 0.750
0.000 0.000 0.378
0.000 0.000 0.622
0.500 0.500 0.122
0.500 0.500 0.878
```

Properties
- DOS at the Fermi energy: 4.3 states/eV/f.u.
- Volume: 166 Å³ per cell
- Symmetry: I4/mmm
- Theoretical density: 8.60 Mg/m³

Least stable: ii

## i
Material: Hf2SiTe
Method: DFT, GGA-PBE
State: relaxed

The structure in POSCAR format:
```
Hf2SiTe
1.0
3.924 0.000 0.000
-1.962 3.398 0.000
0.000 0.000 19.923
Hf Si Te
6 3 3
direct
0.000 0.000 0.232
0.000 0.000 0.768
0.333 0.667 0.435
0.333 0.667 0.899
0.667 0.333 0.101
0.667 0.333 0.565
0.000 0.000 0.500
0.333 0.667 0.167
0.667 0.333 0.833
0.000 0.000 0.000
0.333 0.667 0.667
0.667 0.333 0.333
```

Properties
- DOS at the Fermi energy: 2.0 states/eV/f.u.
- Volume: 266 Å³ per cell
- Symmetry: R-3m
- Theoretical density: 9.61 Mg/m³

## ii
Material: Hf2SiTe
Method: DFT, GGA-PBE
State: relaxed

The structure in POSCAR format:
```
Hf2SiTe
1.0
6.856 0.000 0.000
0.000 6.856 0.000
0.000 0.000 6.856
Hf Si Te
8 4 4
direct
0.250 0.250 0.250
0.250 0.250 0.750
0.250 0.750 0.250
0.250 0.750 0.750
0.750 0.250 0.250
0.750 0.250 0.750
0.750 0.750 0.250
0.750 0.750 0.750
0.000 0.000 0.000
0.000 0.500 0.500
0.500 0.000 0.500
0.500 0.500 0.000
0.000 0.000 0.500
0.000 0.500 0.000
0.500 0.000 0.000
0.500 0.500 0.500
```

Properties
- DOS at the Fermi energy: 6.4 states/eV/f.u.
- Volume: 322 Å³ per cell
- Symmetry: Fm-3m
- Theoretical density: 10.57 Mg/m³

## iii
Material: Hf2SiTe
Method: DFT, GGA-PBE
State: relaxed

The structure in POSCAR format:
```
Hf2SiTe
1.0
6.152 0.000 0.000
0.000 6.152 0.000
0.000 0.000 12.610
Hf Si Te
8 4 4
direct
0.207 0.250 0.125
0.250 0.707 0.375
0.250 0.793 0.875
0.293 0.250 0.625
0.707 0.750 0.625
0.750 0.207 0.875
0.750 0.293 0.375
0.793 0.750 0.125
0.000 0.000 0.000
0.000 0.500 0.250
0.500 0.000 0.750
0.500 0.500 0.500
0.000 0.000 0.500
0.000 0.500 0.750
0.500 0.000 0.250
0.500 0.500 0.000
```

Properties
- DOS at the Fermi energy: 2.9 states/eV/f.u.
- Volume: 477 Å³ per cell
- Symmetry: I-42d
- Theoretical density: 7.13 Mg/m³

Least stable: iii

## i
Material: HfSiTe3
Method: DFT, GGA-PBE
State: relaxed

The structure in POSCAR format:
```
HfSiTe3
1.0
5.163 0.000 0.000
0.000 5.163 0.000
0.000 0.000 5.163
Hf Si Te
1 1 3
direct
0.000 0.000 0.000
0.500 0.500 0.500
0.000 0.500 0.500
0.500 0.000 0.500
0.500 0.500 0.000
```

Properties
- DOS at the Fermi energy: 2.4 states/eV/f.u.
- Volume: 138 Å³ per cell
- Symmetry: Pm-3m
- Theoretical density: 7.11 Mg/m³

## ii
Material: HfSiTe3
Method: DFT, GGA-PBE
State: relaxed

The structure in POSCAR format:
```
HfSiTe3
1.0
5.537 0.000 0.000
0.000 5.537 0.000
0.000 0.000 5.537
Hf Si Te
1 1 3
direct
0.000 0.000 0.000
0.500 0.500 0.500
0.000 0.000 0.500
0.000 0.500 0.000
0.500 0.000 0.000
```

Properties
- DOS at the Fermi energy: 3.4 states/eV/f.u.
- Volume: 170 Å³ per cell
- Symmetry: Pm-3m
- Theoretical density: 5.76 Mg/m³

Least stable: i

## i
Material: HfTi2Si2
Method: DFT, GGA-PBE
State: relaxed

The structure in POSCAR format:
```
HfTi2Si2
1.0
4.700 0.000 0.000
0.000 3.271 0.000
-1.237 0.000 11.003
Hf Ti Si
2 4 4
direct
0.197 0.250 0.257
0.803 0.750 0.743
0.246 0.750 0.480
0.346 0.250 0.900
0.654 0.750 0.100
0.754 0.250 0.520
0.148 0.750 0.051
0.288 0.250 0.666
0.712 0.750 0.334
0.852 0.250 0.949
```

Properties
- DOS at the Fermi energy: 4.7 states/eV/f.u.
- Volume: 169 Å³ per cell
- Symmetry: P2_1/m
- Theoretical density: 6.49 Mg/m³

## ii
Material: HfTi2Si2
Method: DFT, GGA-PBE
State: relaxed

The structure in POSCAR format:
```
HfTi2Si2
1.0
3.427 0.000 0.000
0.000 3.427 0.000
0.000 0.000 14.995
Hf Ti Si
2 4 4
direct
0.000 0.000 0.000
0.500 0.500 0.500
0.000 0.000 0.385
0.000 0.000 0.615
0.500 0.500 0.115
0.500 0.500 0.885
0.000 0.500 0.250
0.000 0.500 0.750
0.500 0.000 0.250
0.500 0.000 0.750
```

Properties
- DOS at the Fermi energy: 5.1 states/eV/f.u.
- Volume: 176 Å³ per cell
- Symmetry: I4/mmm
- Theoretical density: 6.23 Mg/m³

## iii
Material: HfTi2Si2
Method: DFT, GGA-PBE
State: relaxed

The structure in POSCAR format:
```
HfTi2Si2
1.0
6.907 0.000 0.000
0.000 6.907 0.000
0.000 0.000 3.381
Hf Ti Si
2 4 4
direct
0.000 0.000 0.000
0.500 0.500 0.000
0.172 0.328 0.500
0.328 0.828 0.500
0.672 0.172 0.500
0.828 0.672 0.500
0.124 0.624 0.000
0.376 0.124 0.000
0.624 0.876 0.000
0.876 0.376 0.000
```

Properties
- DOS at the Fermi energy: 4.1 states/eV/f.u.
- Volume: 161 Å³ per cell
- Symmetry: P4/mbm
- Theoretical density: 6.80 Mg/m³

Least stable: ii

## i
Material: HfTl2Si
Method: DFT, GGA-PBE
State: relaxed

The structure in POSCAR format:
```
HfTl2Si
1.0
8.022 0.000 0.000
0.000 8.022 0.000
0.000 0.000 5.804
Hf Tl Si
4 8 4
direct
0.000 0.000 0.000
0.000 0.500 0.250
0.500 0.000 0.750
0.500 0.500 0.500
0.225 0.750 0.625
0.250 0.225 0.375
0.250 0.275 0.875
0.275 0.750 0.125
0.725 0.250 0.125
0.750 0.725 0.875
0.750 0.775 0.375
0.775 0.250 0.625
0.000 0.000 0.500
0.000 0.500 0.750
0.500 0.000 0.250
0.500 0.500 0.000
```

Properties
- DOS at the Fermi energy: 2.4 states/eV/f.u.
- Volume: 374 Å³ per cell
- Symmetry: I-42d
- Theoretical density: 10.94 Mg/m³

## ii
Material: HfTl2Si
Method: DFT, GGA-PBE
State: relaxed

The structure in POSCAR format:
```
HfTl2Si
1.0
7.229 0.000 0.000
0.000 7.229 0.000
0.000 0.000 7.229
Hf Tl Si
4 8 4
direct
0.000 0.000 0.000
0.000 0.500 0.500
0.500 0.000 0.500
0.500 0.500 0.000
0.250 0.250 0.250
0.250 0.250 0.750
0.250 0.750 0.250
0.250 0.750 0.750
0.750 0.250 0.250
0.750 0.250 0.750
0.750 0.750 0.250
0.750 0.750 0.750
0.000 0.000 0.500
0.000 0.500 0.000
0.500 0.000 0.000
0.500 0.500 0.500
```

Properties
- DOS at the Fermi energy: 3.5 states/eV/f.u.
- Volume: 378 Å³ per cell
- Symmetry: Fm-3m
- Theoretical density: 10.82 Mg/m³

Least stable: ii

## i
Material: HfTl2Si2
Method: DFT, GGA-PBE
State: relaxed

The structure in POSCAR format:
```
HfTl2Si2
1.0
7.880 0.000 0.000
0.000 7.880 0.000
0.000 0.000 3.529
Hf Tl Si
2 4 4
direct
0.000 0.000 0.000
0.500 0.500 0.000
0.137 0.363 0.000
0.363 0.863 0.000
0.637 0.137 0.000
0.863 0.637 0.000
0.166 0.666 0.500
0.334 0.166 0.500
0.666 0.834 0.500
0.834 0.334 0.500
```

Properties
- DOS at the Fermi energy: 3.6 states/eV/f.u.
- Volume: 219 Å³ per cell
- Symmetry: P4/mbm
- Theoretical density: 9.75 Mg/m³

## ii
Material: HfTl2Si2
Method: DFT, GGA-PBE
State: relaxed

The structure in POSCAR format:
```
HfTl2Si2
1.0
3.383 0.000 0.000
0.000 3.383 0.000
0.000 0.000 19.398
Hf Tl Si
2 4 4
direct
0.000 0.000 0.000
0.500 0.500 0.500
0.000 0.000 0.392
0.000 0.000 0.608
0.500 0.500 0.108
0.500 0.500 0.892
0.000 0.500 0.250
0.000 0.500 0.750
0.500 0.000 0.250
0.500 0.000 0.750
```

Properties
- DOS at the Fermi energy: 3.0 states/eV/f.u.
- Volume: 222 Å³ per cell
- Symmetry: I4/mmm
- Theoretical density: 9.63 Mg/m³

Least stable: i

## i
Material: Hf3TlSi
Method: DFT, GGA-PBE
State: relaxed

The structure in POSCAR format:
```
Hf3TlSi
1.0
5.225 0.000 0.000
0.000 5.225 0.000
0.000 0.000 5.225
Hf Tl Si
3 1 1
direct
0.000 0.000 0.500
0.000 0.500 0.000
0.500 0.000 0.000
0.000 0.000 0.000
0.500 0.500 0.500
```

Properties
- DOS at the Fermi energy: 7.3 states/eV/f.u.
- Volume: 143 Å³ per cell
- Symmetry: Pm-3m
- Theoretical density: 8.94 Mg/m³

## ii
Material: Hf3TlSi
Method: DFT, GGA-PBE
State: relaxed

The structure in POSCAR format:
```
Hf3TlSi
1.0
4.897 0.000 0.000
0.000 4.897 0.000
0.000 0.000 4.897
Hf Tl Si
3 1 1
direct
0.000 0.000 0.500
0.000 0.500 0.000
0.500 0.000 0.000
0.500 0.500 0.500
0.000 0.000 0.000
```

Properties
- DOS at the Fermi energy: 4.8 states/eV/f.u.
- Volume: 117 Å³ per cell
- Symmetry: Pm-3m
- Theoretical density: 10.86 Mg/m³

Least stable: i

## i
Material: Hf2VSi2
Method: DFT, GGA-PBE
State: relaxed

The structure in POSCAR format:
```
Hf2VSi2
1.0
4.030 0.000 0.000
0.000 4.030 0.000
0.000 0.000 11.601
Hf V Si
4 2 4
direct
0.000 0.500 0.250
0.000 0.500 0.750
0.500 0.000 0.250
0.500 0.000 0.750
0.000 0.000 0.000
0.500 0.500 0.500
0.000 0.000 0.404
0.000 0.000 0.596
0.500 0.500 0.096
0.500 0.500 0.904
```

Properties
- DOS at the Fermi energy: 2.9 states/eV/f.u.
- Volume: 188 Å³ per cell
- Symmetry: I4/mmm
- Theoretical density: 8.18 Mg/m³

## ii
Material: Hf2VSi2
Method: DFT, GGA-PBE
State: relaxed

The structure in POSCAR format:
```
Hf2VSi2
1.0
2.743 0.000 0.000
0.000 2.743 0.000
0.000 0.000 13.143
Hf V Si
2 1 2
direct
0.000 0.000 0.117
0.000 0.000 0.883
0.000 0.000 0.500
0.000 0.000 0.317
0.000 0.000 0.683
```

Properties
- DOS at the Fermi energy: 5.6 states/eV/f.u.
- Volume: 99 Å³ per cell
- Symmetry: P4/mmm
- Theoretical density: 7.79 Mg/m³

## iii
Material: Hf2VSi2
Method: DFT, GGA-PBE
State: relaxed

The structure in POSCAR format:
```
Hf2VSi2
1.0
1.766 -7.449 0.000
1.766 7.449 0.000
0.000 0.000 7.045
Hf V Si
4 2 4
direct
0.039 0.961 0.500
0.196 0.804 0.888
0.804 0.196 0.388
0.961 0.039 0.000
0.405 0.595 0.651
0.595 0.405 0.151
0.186 0.814 0.273
0.438 0.562 0.297
0.562 0.438 0.797
0.814 0.186 0.773
```

Properties
- DOS at the Fermi energy: 3.3 states/eV/f.u.
- Volume: 185 Å³ per cell
- Symmetry: Cmc2_1
- Theoretical density: 8.31 Mg/m³

Least stable: ii